This record from Alexandria describes a relaxed structure of MnCu5F12. The functional is GGA+U.

```
MnCu5F12
1.0
5.419 0.000 0.285
2.710 4.953 0.142
0.468 0.000 8.753
F Cu Mn
12 5 1
direct
0.032 0.337 0.893 F
0.823 0.668 0.603 F
0.369 0.663 0.893 F
0.177 0.332 0.397 F
0.154 0.000 0.607 F
0.322 0.000 0.113 F
0.968 0.663 0.107 F
0.678 0.000 0.887 F
0.491 0.332 0.603 F
0.631 0.337 0.107 F
0.509 0.668 0.397 F
0.846 0.000 0.393 F
0.665 0.669 0.000 Cu
0.335 0.331 0.000 Cu
0.500 0.000 0.500 Cu
0.166 0.667 0.500 Cu
0.834 0.333 0.500 Cu
0.000 0.000 0.000 Mn
```

## Properties
- E: -4.412 eV/atom
- Crystal system: monoclinic
- Symmetry: No. 12